8
Lattice="4.494 0.000 0.000 0.000 4.494 0.000 0.000 0.000 6.363" Properties=species:S:1:pos:R:3 comment="TaMo7, relaxed, DFT PBE" e_form_mev_per_atom=-66.0 spacegroup="No. 123" pbc="T T T"
Ta 0.000 0.000 0.000
Mo 0.000 0.000 3.182
Mo 0.000 2.247 1.607
Mo 0.000 2.247 4.756
Mo 2.247 0.000 1.607
Mo 2.247 0.000 4.756
Mo 2.247 2.247 0.000
Mo 2.247 2.247 3.182

12
Lattice="5.266 0.000 0.000 -2.633 4.560 0.000 0.000 0.000 8.567" Properties=species:S:1:pos:R:3 comment="TaMo2, relaxed, DFT PBE" e_form_mev_per_atom=68.5 spacegroup="No. 194" pbc="T T T"
Ta 0.000 3.040 0.461
Ta 0.000 3.040 3.822
Ta 2.633 1.520 4.744
Ta 2.633 1.520 8.106
Mo 0.000 0.000 0.000
Mo 0.000 0.000 4.283
Mo 0.000 1.557 6.425
Mo -1.285 3.782 6.425
Mo 1.348 0.778 2.142
Mo 1.285 3.782 6.425
Mo 3.918 0.778 2.142
Mo 2.633 3.004 2.142

3
Lattice="0.000 3.126 3.126 3.126 0.000 3.126 3.126 3.126 0.000" Properties=species:S:1:pos:R:3 comment="Ta2Mo, relaxed, DFT PBE" e_form_mev_per_atom=622.3 de_polymorph_mev_per_atom=234 spacegroup="No. 225" pbc="T T T"
Ta 1.563 1.563 1.563
Ta 4.689 4.689 4.689
Mo 0.000 0.000 0.000

6
Lattice="0.000 3.795 3.795 3.795 0.000 3.795 3.795 3.795 0.000" Properties=species:S:1:pos:R:3 comment="Ta2Mo, relaxed, DFT PBE" e_form_mev_per_atom=388.3 de_polymorph_mev_per_atom=0 spacegroup="No. 227" pbc="T T T"
Ta 0.000 0.000 0.000
Ta 1.897 1.897 0.000
Ta 1.897 0.000 1.897
Ta 0.000 1.897 1.897
Mo 2.846 2.846 2.846
Mo 4.744 4.744 4.744

24
Lattice="5.262 0.000 0.000 -2.631 4.557 0.000 0.000 0.000 17.146" Properties=species:S:1:pos:R:3 comment="TaMo2, relaxed, DFT PBE" e_form_mev_per_atom=57.1 spacegroup="No. 194" pbc="T T T"
Ta 0.000 0.000 1.634
Ta 0.000 0.000 6.938
Ta 0.000 0.000 10.207
Ta 0.000 0.000 15.511
Ta 0.000 3.038 2.685
Ta 0.000 3.038 5.888
Ta 2.631 1.519 11.258
Ta 2.631 1.519 14.461
Mo -1.315 2.278 0.000
Mo -1.315 2.278 8.573
Mo 0.000 1.487 12.859
Mo -1.343 3.813 12.859
Mo 1.288 0.744 4.286
Mo 0.000 3.038 10.688
Mo 0.000 3.038 15.031
Mo 2.631 0.000 0.000
Mo 2.631 0.000 8.573
Mo 1.315 2.278 0.000
Mo 1.315 2.278 8.573
Mo 2.631 1.519 2.115
Mo 2.631 1.519 6.458
Mo 1.343 3.813 12.859
Mo 3.974 0.744 4.286
Mo 2.631 3.070 4.286

4
Lattice="0.000 3.206 3.206 3.206 0.000 3.206 3.206 3.206 0.000" Properties=species:S:1:pos:R:3 comment="Ta2TcMo, relaxed, DFT PBE" e_form_mev_per_atom=-160.8 de_polymorph_mev_per_atom=194 spacegroup="No. 216" pbc="T T T"
Ta 0.000 0.000 0.000
Ta 1.603 1.603 1.603
Tc 3.206 3.206 3.206
Mo 4.809 4.809 4.809

4
Lattice="4.537 0.000 0.000 0.000 4.537 0.000 0.000 0.000 3.204" Properties=species:S:1:pos:R:3 comment="Ta2TcMo, relaxed, DFT PBE" e_form_mev_per_atom=-354.5 de_polymorph_mev_per_atom=1 spacegroup="No. 123" pbc="T T T"
Ta 0.000 2.268 0.000
Ta 2.268 0.000 0.000
Tc 0.000 0.000 1.602
Mo 2.268 2.268 1.602

4
Lattice="0.000 3.206 3.206 3.206 0.000 3.206 3.206 3.206 0.000" Properties=species:S:1:pos:R:3 comment="Ta2TcMo, relaxed, DFT PBE" e_form_mev_per_atom=-349.1 de_polymorph_mev_per_atom=6 spacegroup="No. 225" pbc="T T T"
Ta 1.603 1.603 1.603
Ta 4.809 4.809 4.809
Tc 0.000 0.000 0.000
Mo 3.206 3.206 3.206

The calculation returns the following magnetization values, one per record and in order: 0.00; 0.00; 0.00; 0.00; 0.00; 0.00; 0.00; 0.00 μB per atom.